Record 1
Compound: YCdGaO4
Source: the Alexandria database
Functional: PBE
Structure: optimized geometry

Computed properties:
The calculation puts the formation energy from raw total energies at -2.13 eV/atom. For the total energy, the calculation gives -6.453 eV per atom.

```
YCdGaO4
1.0
6.285 0.000 0.000
3.142 5.646 -0.005
3.142 1.715 5.379
Y Cd Ga O
2 2 2 8
direct
0.000 0.000 0.000
0.000 0.500 0.500
0.500 0.000 0.500
0.000 0.000 0.500
0.629 0.621 0.121
0.371 0.379 0.879
0.750 0.735 0.766
0.250 0.734 0.765
0.750 0.266 0.235
0.250 0.265 0.234
0.257 0.742 0.242
0.758 0.742 0.242
0.242 0.258 0.758
0.743 0.258 0.758
```

Record 2
Compound: CdGa2Os2
Source: the Alexandria database
Functional: PBE
Structure: optimized geometry

Computed properties:
The value obtained for the density of states at the Fermi level is 2.348 states/eV per cell. Its formation energy is 0.1980 eV per atom. For the total energy, the calculation gives -5.688 eV per atom.

```
CdGa2Os2
1.0
7.297 0.000 0.000
0.000 7.297 0.000
0.000 0.000 3.010
Os Ga Cd
4 4 2
direct
0.361 0.861 0.000
0.861 0.639 0.000
0.639 0.139 0.000
0.139 0.361 0.000
0.156 0.656 0.500
0.656 0.844 0.500
0.844 0.344 0.500
0.344 0.156 0.500
0.000 0.000 0.000
0.500 0.500 0.000
```

Record 3
Compound: CdGa3Os
Source: the Alexandria database
Functional: PBE
Structure: optimized geometry

Computed properties:
The value obtained for the density of states at the Fermi level is 1.980 states/eV per cell. Its formation energy is 0.0735 eV per atom. For the total energy, the calculation gives -4.172 eV per atom.

```
CdGa3Os
1.0
-2.565 0.416 4.106
-3.474 -2.829 -1.884
2.229 -3.930 1.791
Os Ga Cd
1 3 1
direct
0.000 0.000 0.000
0.000 0.500 0.000
0.000 0.000 0.500
0.500 0.000 0.000
0.500 0.500 0.500
```

Record 4
Compound: Cd2GaOs
Source: the Alexandria database
Functional: PBE
Structure: optimized geometry

Computed properties:
The value obtained for the density of states at the Fermi level is 4.394 states/eV per cell. Its formation energy is 0.6357 eV per atom. For the total energy, the calculation gives -3.386 eV per atom.

```
Cd2GaOs
1.0
-1.168 1.803 -3.205
-2.448 -2.891 -0.735
-9.102 4.269 3.398
Os Ga Cd
2 2 4
direct
0.000 0.000 0.000
0.750 0.250 0.500
0.500 0.500 0.000
0.250 0.750 0.500
0.633 0.125 0.250
0.117 0.625 0.250
0.375 0.367 0.750
0.875 0.883 0.750
```

| no. | total magnetization (μB per atom) |
| --- | --- |
| 1 | 0.000 |
| 2 | 0.000 |
| 3 | 0.000 |
| 4 | 0.219 |